# 1
ZrCoMo3 | PBE-GGA | relaxed Values from VASP.

Calculated values
E_tot (eV per cell): -43.85
Crystal system: cubic
Energy of formation from the pure elements (eV per atom): 0.86
V (Å³ per cell): 91.5
Energy relative to the lowest polymorph listed for this composition (meV/atom): 0
Size of the total moment (μB/cell): 0.00

Quantum ESPRESSO input file:
```
&SYSTEM
  ibrav = 0, nat = 5, ntyp = 3
/
ATOMIC_SPECIES
Mo 95.94 Mo.upf
Zr 91.22 Zr.upf
Co 58.93 Co.upf
CELL_PARAMETERS angstrom
4.506 0.000 0.000
0.000 4.506 0.000
0.000 0.000 4.506
ATOMIC_POSITIONS angstrom
Mo 0.000 2.253 0.000
Zr 2.253 2.253 2.253
Mo 2.253 0.000 0.000
Co 0.000 0.000 0.000
Mo 0.000 0.000 2.253
```

# 2
LaTlAsSe2 | PBE-GGA | relaxed Values from VASP.

Calculated values
E_tot (eV per cell): -20.52
Crystal system: tetragonal
V (Å³ per cell): 197.2
Energy relative to the lowest polymorph listed for this composition (meV/atom): 0
Raw formation energy (kJ/mol of atoms): -31.1
Size of the total moment (μB/cell): 1.61

Quantum ESPRESSO input file:
```
&SYSTEM
  ibrav = 0, nat = 5, ntyp = 4
/
ATOMIC_SPECIES
Se 78.96 Se.upf
La 138.91 La.upf
Tl 204.38 Tl.upf
As 74.92 As.upf
CELL_PARAMETERS angstrom
-2.468 0.125 5.238
0.044 -5.789 0.159
5.318 0.109 2.503
ATOMIC_POSITIONS angstrom
Se -1.234 0.063 2.619
Se 0.022 -2.895 0.080
La 0.000 0.000 0.000
Tl 1.447 -2.777 3.950
As 2.659 0.055 1.252
```